Compound: ScTi3H4
Source: Alexandria
Functional: GGA-PBE
Structure: optimized geometry

Values from the calculation:
As for the total magnetic moment: 0.0 μB/f.u. The calculation puts the final energy at -0.212 hartree per atom.

a b c (Å): 6.749 5.036 4.927
angles (deg): 90.00 90.00 90.00
Space group Pmn2_1 (No. 31)
Symmetry-distinct sites (fractional):
Sc1 0.000 0.216 0.000 (multiplicity 2)
Ti1 0.000 0.772 0.534 (multiplicity 2)
Ti2 0.234 0.721 0.016 (multiplicity 4)
H1 0.000 0.153 0.573 (multiplicity 2)
H2 0.000 0.849 0.163 (multiplicity 2)
H3 0.242 0.628 0.647 (multiplicity 4)

---

Compound: ScTi2H4
Source: Alexandria
Functional: GGA-PBE
Structure: optimized geometry

Values from the calculation:
As for the total magnetic moment: 1.0 μB/f.u. The calculation puts the final energy at -0.203 hartree per atom.

a b c (Å): 8.155 8.155 8.155
angles (deg): 90.00 90.00 90.00
Space group Fd-3m (No. 227, origin choice 2)
Symmetry-distinct sites (fractional):
Sc1 0.125 0.125 0.125 (multiplicity 8)
Ti1 0.000 0.000 0.500 (multiplicity 16)
H1 0.018 0.018 0.732 (multiplicity 32)

---

Compound: Sc2TiH4
Source: Alexandria
Functional: GGA-PBE
Structure: optimized geometry

Values from the calculation:
As for the total magnetic moment: 0.0 μB/f.u. The calculation puts the final energy at -0.190 hartree per atom.

a b c (Å): 3.586 3.586 10.993
angles (deg): 90.00 90.00 90.00
Space group I4/mmm (No. 139)
Symmetry-distinct sites (fractional):
Sc1 0.000 0.000 0.151 (multiplicity 4)
Ti1 0.000 0.000 0.500 (multiplicity 2)
H1 0.000 0.000 0.331 (multiplicity 4)
H2 0.000 0.500 0.000 (multiplicity 4)

---

Compound: ScTi2H8
Source: Alexandria
Functional: GGA-PBE
Structure: optimized geometry

Values from the calculation:
As for the total magnetic moment: 0.0 μB/f.u. The calculation puts the final energy at -0.177 hartree per atom.

a b c (Å): 3.253 4.395 9.750
angles (deg): 90.00 90.00 90.00
Space group Immm (No. 71)
Symmetry-distinct sites (fractional):
Sc1 0.000 0.000 0.000 (multiplicity 2)
Ti1 0.000 0.000 0.330 (multiplicity 4)
H1 0.000 0.217 0.500 (multiplicity 4)
H2 0.000 0.270 0.164 (multiplicity 8)
H3 0.000 0.500 0.336 (multiplicity 4)

---

Compound: ScTi2H
Source: Alexandria
Functional: GGA-PBE
Structure: optimized geometry

Values from the calculation:
As for the relative energy among the computed polymorphs: 955.9 meV per atom. As for the total magnetic moment: 1.8 μB/f.u.

a b c (Å): 6.364 6.364 6.364
angles (deg): 90.00 90.00 90.00
Space group Fm-3m (No. 225)
Symmetry-distinct sites (fractional):
Sc1 0.000 0.000 0.000 (multiplicity 4)
Ti1 0.250 0.250 0.250 (multiplicity 8)
H1 0.000 0.000 0.500 (multiplicity 4)

---

Compound: Sc2TiH
Source: Alexandria
Functional: GGA-PBE
Structure: optimized geometry

Values from the calculation:
As for the relative energy among the computed polymorphs: 93.0 meV per atom. As for the total magnetic moment: 0.2 μB/f.u.

a b c (Å): 3.0711 3.0711 24.4496
angles (deg): 90.00 90.00 120.00
Space group R-3m (No. 166, hexagonal axes)
Symmetry-distinct sites (fractional):
Sc1 0.0000 0.0000 0.1152 (multiplicity 6)
Ti1 0.0000 0.0000 0.0000 (multiplicity 3)
H1 0.0000 0.0000 0.5000 (multiplicity 3)

---

Compound: Sc2TiH
Source: Alexandria
Functional: GGA-PBE
Structure: optimized geometry

Values from the calculation:
As for the relative energy among the computed polymorphs: 108.0 meV per atom. As for the total magnetic moment: 0.0 μB/f.u.

a b c (Å): 2.960 2.960 7.430
angles (deg): 90.00 90.00 90.00
Space group P4/mmm (No. 123)
Symmetry-distinct sites (fractional):
Sc1 0.000 0.000 0.205 (multiplicity 2)
Ti1 0.500 0.500 0.500 (multiplicity 1)
H1 0.500 0.500 0.000 (multiplicity 1)

---

Compound: Sc2TiH
Source: Alexandria
Functional: GGA-PBE
Structure: optimized geometry

Values from the calculation:
As for the relative energy among the computed polymorphs: 0.0 meV per atom. As for the total magnetic moment: 0.0 μB/f.u.

a b c (Å): 6.359 6.359 6.678
angles (deg): 90.00 90.00 90.00
Space group I-42d (No. 122)
Symmetry-distinct sites (fractional):
Sc1 0.131 0.250 0.125 (multiplicity 8)
Ti1 0.000 0.000 0.500 (multiplicity 4)
H1 0.000 0.000 0.000 (multiplicity 4)

---

Compound: YSc2TiH
Source: Alexandria
Functional: GGA-PBE
Structure: optimized geometry

Values from the calculation:
As for the relative energy among the computed polymorphs: 0.0 meV per atom. As for the total magnetic moment: 0.8 μB/f.u.

a b c (Å): 4.543 4.543 4.682
angles (deg): 90.00 90.00 90.00
Space group P4/mmm (No. 123)
Symmetry-distinct sites (fractional):
Y1 0.000 0.000 0.000 (multiplicity 1)
Sc1 0.000 0.500 0.500 (multiplicity 2)
Ti1 0.500 0.500 0.000 (multiplicity 1)
H1 0.000 0.000 0.500 (multiplicity 1)

---

Compound: YSc2TiH
Source: Alexandria
Functional: GGA-PBE
Structure: optimized geometry

Values from the calculation:
As for the relative energy among the computed polymorphs: 6.9 meV per atom. As for the total magnetic moment: 0.0 μB/f.u.

a b c (Å): 4.568 4.568 4.533
angles (deg): 90.00 90.00 90.00
Space group P4/mmm (No. 123)
Symmetry-distinct sites (fractional):
Y1 0.000 0.000 0.000 (multiplicity 1)
Sc1 0.000 0.500 0.500 (multiplicity 2)
Ti1 0.500 0.500 0.000 (multiplicity 1)
H1 0.500 0.500 0.500 (multiplicity 1)

---

Compound: Sc2TiZnH
Source: Alexandria
Functional: GGA-PBE
Structure: optimized geometry

Values from the calculation:
As for the relative energy among the computed polymorphs: 608.9 meV per atom. As for the total magnetic moment: 0.0 μB/f.u.

a b c (Å): 5.229 5.229 3.353
angles (deg): 90.00 90.00 90.00
Space group P4/mmm (No. 123)
Symmetry-distinct sites (fractional):
Sc1 0.000 0.500 0.000 (multiplicity 2)
Ti1 0.000 0.000 0.000 (multiplicity 1)
Zn1 0.500 0.500 0.500 (multiplicity 1)
H1 0.000 0.000 0.500 (multiplicity 1)

---

Compound: Sc2TiZnH
Source: Alexandria
Functional: GGA-PBE
Structure: optimized geometry

Values from the calculation:
As for the relative energy among the computed polymorphs: 0.0 meV per atom. As for the total magnetic moment: 1.4 μB/f.u.

a b c (Å): 4.374 4.374 4.132
angles (deg): 90.00 90.00 90.00
Space group P4/mmm (No. 123)
Symmetry-distinct sites (fractional):
Sc1 0.000 0.500 0.000 (multiplicity 2)
Ti1 0.000 0.000 0.500 (multiplicity 1)
Zn1 0.500 0.500 0.500 (multiplicity 1)
H1 0.000 0.000 0.000 (multiplicity 1)